This record from Alexandria describes an optimized crystal structure of Li4PmTh. The functional is PBE.

The structure in POSCAR format:
```
Li4PmTh
1.0
0.0000 4.1517 4.1517
4.1517 0.0000 4.1517
4.1517 4.1517 0.0000
Li Pm Th
4 1 1
direct
0.1250 0.1250 0.1250 Li
0.1250 0.1250 0.6250 Li
0.1250 0.6250 0.1250 Li
0.6250 0.1250 0.1250 Li
0.7500 0.7500 0.7500 Pm
0.5000 0.5000 0.5000 Th
```

Values from the calculation:
ΔH_f (0 K) ... 0.20 eV/atom
Total magnetic moment ... 0.046 μB/atom
Space group ... No. 216